Record 1
TaCr2Br: optimized geometry, PBE.

Cell lengths 4.412, 4.412, 4.412 Å; angles 60.00, 60.00, 60.00 degrees
Sites, in units of the cell vectors:
Ta 0.000 0.000 0.000
Cr 0.250 0.250 0.250
Cr 0.750 0.750 0.750
Br 0.500 0.500 0.500

Calculated values
Space-group type ... Fm-3m (225)
Distance to the lowest polymorph of the same formula ... 0.714 eV per atom
Formation energy without anion corrections ... 1022 meV per atom

=====

Record 2
AcV5: optimized geometry, PBE.

Cell lengths 7.089, 7.089, 3.226 Å; angles 90.00, 90.00, 142.24 degrees
Sites, in units of the cell vectors:
Ac 0.000 0.000 0.000
V 0.186 0.814 0.500
V 0.323 0.677 0.000
V 0.500 0.500 0.500
V 0.677 0.323 0.000
V 0.814 0.186 0.500

Calculated values
Space-group type ... Cmmm (65)
Energy ... -7.719 eV/atom

=====

Record 3
Mg2Zn2Cd3: optimized geometry, PBE.

Cell lengths 9.920, 9.920, 3.295 Å; angles 90.00, 90.00, 154.27 degrees
Sites, in units of the cell vectors:
Mg 0.161 0.839 0.000
Mg 0.839 0.161 0.000
Zn 0.282 0.718 0.500
Zn 0.718 0.282 0.500
Cd 0.000 0.000 0.000
Cd 0.422 0.578 0.500
Cd 0.578 0.422 0.500

Calculated values
Space-group type ... Cmmm (65)
Distance to the lowest polymorph of the same formula ... 0.000 eV per atom

=====

Record 4
LiTlCu2F8: optimized geometry, PBE.

Cell lengths 6.435, 6.435, 6.435 Å; angles 130.96, 130.96, 71.88 degrees
Sites, in units of the cell vectors:
Li 0.000 0.000 0.000
Tl 0.750 0.250 0.500
Cu 0.250 0.750 0.500
Cu 0.500 0.500 0.000
F 0.018 0.653 0.047
F 0.029 0.982 0.635
F 0.141 0.271 0.537
F 0.347 0.394 0.365
F 0.396 0.859 0.129
F 0.606 0.971 0.953
F 0.729 0.266 0.871
F 0.734 0.604 0.463

Calculated values
Space-group type ... I-4 (82)
Formation energy without anion corrections ... -1775 meV per atom